Record 1
AcNb: relaxed, PBE.

Unit cell a=6.629 b=6.629 c=6.629 alpha=90.00 beta=90.00 gamma=90.00
Fractional coordinates of all 8 atoms:
Ac 0.000 0.000 0.000
Ac 0.000 0.500 0.500
Ac 0.500 0.000 0.500
Ac 0.500 0.500 0.000
Nb 0.250 0.250 0.750
Nb 0.250 0.750 0.250
Nb 0.750 0.250 0.250
Nb 0.750 0.750 0.750

## Properties
Electronic total energy   -0.3520 Ry per atom
ΔH_f (0 K)   223 kJ/mol of atoms
SG   F-43m (216)

=====

Record 2
Ac2Nb: relaxed, PBE.

Unit cell a=8.940 b=8.940 c=8.940 alpha=60.00 beta=60.00 gamma=60.00
Fractional coordinates of all 6 atoms:
Ac 0.000 0.000 0.000
Ac 0.000 0.000 0.500
Ac 0.000 0.500 0.000
Ac 0.500 0.000 0.000
Nb 0.125 0.125 0.125
Nb 0.875 0.875 0.875

## Properties
Electronic total energy   -0.3151 Ry per atom
ΔH_f (0 K)   175 kJ/mol of atoms
SG   Fd-3m (227)

=====

Record 3
AcNb: relaxed, PBE.

Unit cell a=3.413 b=3.413 c=5.519 alpha=90.00 beta=90.00 gamma=120.00
Fractional coordinates of all 2 atoms:
Ac 0.000 0.000 0.000
Nb 0.667 0.333 0.500

## Properties
Electronic total energy   -0.4521 Ry per atom
ΔH_f (0 K)   92 kJ/mol of atoms
SG   P-6m2 (187)

=====

Record 4
AcNb2: relaxed, PBE.

Unit cell a=8.895 b=8.895 c=8.895 alpha=60.00 beta=60.00 gamma=60.00
Fractional coordinates of all 6 atoms:
Ac 0.125 0.125 0.125
Ac 0.875 0.875 0.875
Nb 0.000 0.000 0.000
Nb 0.000 0.000 0.500
Nb 0.000 0.500 0.000
Nb 0.500 0.000 0.000

## Properties
Electronic total energy   -0.2896 Ry per atom
ΔH_f (0 K)   401 kJ/mol of atoms
SG   Fd-3m (227)